No. 1
Density functional theory data (PBE-GGA) for crystalline VCoW3 at its relaxed geometry.

extended XYZ file:
```
5
Lattice="4.443 0.000 0.000 0.000 4.443 0.000 0.000 0.000 4.443" Properties=species:S:1:pos:R:3 pbc="T T T"
Co 0.000 0.000 0.000
W 0.000 2.222 0.000
W 0.000 0.000 2.222
W 2.222 0.000 0.000
V 2.222 2.222 2.222
```

Results
Spin magnetization = 1.4 μB per cell
Space group = No. 221
DFT formation energy = 1.4348 eV/atom
ΔE to the lowest computed polymorph = 0 meV/atom


No. 2
Density functional theory data (PBE-GGA) for crystalline YVCo4 at its relaxed geometry.

extended XYZ file:
```
6
Lattice="-3.756 2.293 2.141 -1.323 -1.199 4.557 0.814 3.117 3.684" Properties=species:S:1:pos:R:3 pbc="T T T"
Y 0.000 0.000 0.000
Co -3.070 1.076 4.648
Co -2.004 3.228 4.213
Co -2.664 2.630 6.485
Co -0.791 1.487 5.418
V -1.066 1.053 2.596
```

Results
Spin magnetization = 2.0 μB per cell
Space group = No. 216
DFT formation energy = -0.0121 eV/atom


No. 3
Density functional theory data (PBE-GGA) for crystalline Y2V2Co at its relaxed geometry.

extended XYZ file:
```
10
Lattice="-4.444 -0.264 -4.425 2.892 -4.921 -2.612 -2.617 -3.028 2.809" Properties=species:S:1:pos:R:3 pbc="T T T"
Y -0.132 -4.875 -1.123
Y -1.912 -5.759 -3.735
Y -4.037 -3.338 -3.105
Y -2.257 -2.454 -0.493
Co 0.000 0.000 0.000
Co -0.776 -2.593 -3.518
V 0.892 -4.313 -3.820
V -1.951 -3.389 -5.472
V -2.444 -0.872 -3.217
V 0.399 -1.796 -1.565
```

Results
Spin magnetization = 1.6 μB per cell
Space group = No. 127
DFT formation energy = 0.2715 eV/atom


No. 4
Density functional theory data (PBE-GGA) for crystalline YVCo at its relaxed geometry.

extended XYZ file:
```
6
Lattice="4.844 0.249 0.000 -2.102 4.372 0.000 -1.371 -2.310 4.775" Properties=species:S:1:pos:R:3 pbc="T T T"
Y 2.614 1.573 0.000
Y 0.129 3.048 0.000
V 1.371 2.310 3.043
V 0.000 0.000 1.732
Co 2.422 0.124 2.388
Co -1.051 2.186 2.388
```

Results
Spin magnetization = 0.0 μB per cell
Space group = No. 69
DFT formation energy = 0.1796 eV/atom


No. 5
Density functional theory data (PBE-GGA) for crystalline Y2VCo at its relaxed geometry.

extended XYZ file:
```
8
Lattice="-4.975 -5.810 -0.384 3.365 -3.281 6.046 -2.695 -3.050 4.694" Properties=species:S:1:pos:R:3 pbc="T T T"
Y -3.599 -5.080 1.671
Y 1.044 -3.263 4.923
Y -2.785 -5.541 5.357
Y -3.270 -10.398 8.763
Co 0.000 0.000 0.000
Co -4.237 -6.703 3.571
V -0.805 -4.545 2.831
V -0.067 -5.438 6.786
```

Results
Spin magnetization = 6.8 μB per cell
Space group = No. 122
DFT formation energy = 0.5405 eV/atom
ΔE to the lowest computed polymorph = 327 meV/atom


No. 6
Density functional theory data (PBE-GGA) for crystalline Y2VCo at its relaxed geometry.

extended XYZ file:
```
4
Lattice="0.000 3.468 3.468 3.468 0.000 3.468 3.468 3.468 0.000" Properties=species:S:1:pos:R:3 pbc="T T T"
Y 1.734 1.734 1.734
Y 5.202 5.202 5.202
Co 3.468 3.468 3.468
V 0.000 0.000 0.000
```

Results
Spin magnetization = 3.5 μB per cell
Space group = No. 225
DFT formation energy = 0.2137 eV/atom
ΔE to the lowest computed polymorph = 0 meV/atom